(1)
First-principles (PBE-GGA) data for a relaxed CaGaIrS2 crystal, as listed in Alexandria.

Values from the calculation:
Its crystal system is tetragonal. The value obtained for the calculated volume is 21.614 A^3/atom. The formation energy without anion corrections comes out at 0.001 eV per atom. The space-group type is No. 123.

Lattice parameters (Å, degrees): 4.818 4.818 4.655 90.00 90.00 90.00
Fractional positions:
Ca (0.000, 0.000, 0.000)
Ga (0.500, 0.500, 0.500)
Ir (0.500, 0.500, 0.000)
S (0.000, 0.500, 0.500)
S (0.500, 0.000, 0.500)



(2)
First-principles (PBE-GGA) data for a relaxed Li2LaSi crystal, as listed in Alexandria.

Values from the calculation:
Its crystal system is monoclinic. The value obtained for the calculated volume is 23.478 A^3/atom. The formation energy without anion corrections comes out at -0.214 eV per atom. The space-group type is No. 6.

Lattice parameters (Å, degrees): 3.472 4.343 6.461 90.00 105.46 90.00
Fractional positions:
Li (0.000, 0.000, 0.000)
Li (0.451, 0.500, 0.902)
La (0.720, 0.000, 0.445)
Si (0.117, 0.500, 0.236)



(3)
First-principles (PBE-GGA) data for a relaxed Pm4Pr4Ho crystal, as listed in Alexandria.

Values from the calculation:
Its crystal system is triclinic. The value obtained for the calculated volume is 35.188 A^3/atom. The energy relative to the lowest polymorph listed for this composition is 0.0938 eV per atom. The space-group type is No. 2.

Lattice parameters (Å, degrees): 3.794 6.978 12.919 100.45 98.43 105.77
Fractional positions:
Pm (0.111, 0.248, 0.470)
Pm (0.311, 0.842, 0.278)
Pm (0.689, 0.158, 0.722)
Pm (0.889, 0.752, 0.530)
Pr (0.160, 0.932, 0.891)
Pr (0.405, 0.583, 0.728)
Pr (0.595, 0.417, 0.272)
Pr (0.840, 0.068, 0.109)
Ho (0.500, 0.500, 0.000)



Q: Look up the calculated volume of the first one.
A: 21.614 A^3/atom